Entry 1:
First-principles (PBE) data for a relaxed structure of Y2InAg2, as listed in the Alexandria database.

Output
**Calculated total energy**: -0.160 Ha/atom

```
data_Y2InAg2
_chemical_formula_sum 'Y4 In2 Ag4'
_cell_length_a 5.690
_cell_length_b 5.690
_cell_length_c 8.257
_cell_angle_alpha 90.00
_cell_angle_beta 90.00
_cell_angle_gamma 90.00
_symmetry_space_group_name_H-M 'I 4/m m m'
_symmetry_Int_Tables_number 139
_symmetry_space_group_name_Hall '-I 4 2'
loop_
_atom_site_label
_atom_site_fract_x
_atom_site_fract_y
_atom_site_fract_z
Y1 0.000 0.500 0.250
In1 0.000 0.000 0.000
Ag1 0.000 0.000 0.346
```

Entry 2:
First-principles (PBE) data for a relaxed structure of Y8InAg2, as listed in the Alexandria database.

Output
**Calculated total energy**: -0.208 Ha/atom
**ΔE to the lowest computed polymorph**: 0 meV per atom

```
data_Y8InAg2
_chemical_formula_sum 'Y16 In2 Ag4'
_cell_length_a 16.394
_cell_length_b 5.214
_cell_length_c 8.277
_cell_angle_alpha 90.00
_cell_angle_beta 117.60
_cell_angle_gamma 90.00
_symmetry_space_group_name_H-M 'C 1 2/m 1'
_symmetry_Int_Tables_number 12
_symmetry_space_group_name_Hall '-C 2y'
loop_
_atom_site_label
_atom_site_fract_x
_atom_site_fract_y
_atom_site_fract_z
Y1 0.062 0.000 0.229
Y2 0.103 0.500 0.962
Y3 0.149 0.000 0.709
Y4 0.186 0.500 0.467
In1 0.000 0.500 0.500
Ag1 0.214 0.000 0.120
```

Entry 3:
First-principles (PBE) data for a relaxed structure of YInAg3, as listed in the Alexandria database.

Output
**Calculated total energy**: -0.119 Ha/atom
**ΔE to the lowest computed polymorph**: 409 meV per atom

```
data_YInAg3
_chemical_formula_sum 'Y1 In1 Ag3'
_cell_length_a 5.099
_cell_length_b 5.099
_cell_length_c 5.099
_cell_angle_alpha 90.00
_cell_angle_beta 90.00
_cell_angle_gamma 90.00
_symmetry_space_group_name_H-M 'P m -3 m'
_symmetry_Int_Tables_number 221
_symmetry_space_group_name_Hall '-P 4 2 3'
loop_
_atom_site_label
_atom_site_fract_x
_atom_site_fract_y
_atom_site_fract_z
Y1 0.000 0.000 0.000
In1 0.500 0.500 0.500
Ag1 0.000 0.500 0.500
```

Entry 4:
First-principles (PBE) data for a relaxed structure of Y4InAg2, as listed in the Alexandria database.

Output
**Calculated total energy**: -0.188 Ha/atom
**ΔE to the lowest computed polymorph**: 0 meV per atom

```
data_Y4InAg2
_chemical_formula_sum 'Y12 In3 Ag6'
_cell_length_a 5.1662
_cell_length_b 5.1662
_cell_length_c 24.7015
_cell_angle_alpha 90.00
_cell_angle_beta 90.00
_cell_angle_gamma 120.00
_symmetry_space_group_name_H-M 'R -3 m'
_symmetry_Int_Tables_number 166
_symmetry_space_group_name_Hall '-R 3 2"'
loop_
_atom_site_label
_atom_site_fract_x
_atom_site_fract_y
_atom_site_fract_z
Y1 0.0000 0.0000 0.1158
Y2 0.0000 0.0000 0.3695
In1 0.0000 0.0000 0.5000
Ag1 0.0000 0.0000 0.2449
```

Entry 5:
First-principles (PBE) data for a relaxed structure of Y4InAg2, as listed in the Alexandria database.

Output
**Calculated total energy**: -0.184 Ha/atom
**ΔE to the lowest computed polymorph**: 132 meV per atom

```
data_Y4InAg2
_chemical_formula_sum 'Y12 In3 Ag6'
_cell_length_a 5.0099
_cell_length_b 5.0099
_cell_length_c 28.3138
_cell_angle_alpha 90.00
_cell_angle_beta 90.00
_cell_angle_gamma 120.00
_symmetry_space_group_name_H-M 'R -3 m'
_symmetry_Int_Tables_number 166
_symmetry_space_group_name_Hall '-R 3 2"'
loop_
_atom_site_label
_atom_site_fract_x
_atom_site_fract_y
_atom_site_fract_z
Y1 0.0000 0.0000 0.1211
Y2 0.0000 0.0000 0.2946
In1 0.0000 0.0000 0.5000
Ag1 0.0000 0.0000 0.4003
```

Entry 6:
First-principles (PBE) data for a relaxed structure of YIn4Ag, as listed in the Alexandria database.

Output
**Calculated total energy**: -0.123 Ha/atom

```
data_YIn4Ag
_chemical_formula_sum 'Y4 In16 Ag4'
_cell_length_a 8.505
_cell_length_b 8.505
_cell_length_c 8.505
_cell_angle_alpha 90.00
_cell_angle_beta 90.00
_cell_angle_gamma 90.00
_symmetry_space_group_name_H-M 'F -4 3 m'
_symmetry_Int_Tables_number 216
_symmetry_space_group_name_Hall 'F -4 2 3'
loop_
_atom_site_label
_atom_site_fract_x
_atom_site_fract_y
_atom_site_fract_z
Y1 0.000 0.000 0.000
In1 0.125 0.125 0.375
Ag1 0.250 0.250 0.750
```

Entry 7:
First-principles (PBE) data for a relaxed structure of Y4In5Ag2, as listed in the Alexandria database.

Output
**Calculated total energy**: -0.166 Ha/atom

```
data_Y4In5Ag2
_chemical_formula_sum 'Y4 In5 Ag2'
_cell_length_a 7.776
_cell_length_b 3.560
_cell_length_c 10.077
_cell_angle_alpha 90.00
_cell_angle_beta 94.55
_cell_angle_gamma 90.00
_symmetry_space_group_name_H-M 'P 1 2/m 1'
_symmetry_Int_Tables_number 10
_symmetry_space_group_name_Hall '-P 2y'
loop_
_atom_site_label
_atom_site_fract_x
_atom_site_fract_y
_atom_site_fract_z
Y1 0.174 0.000 0.380
Y2 0.261 0.000 0.940
In1 0.182 0.500 0.661
In2 0.442 0.500 0.194
In3 0.500 0.500 0.500
Ag1 0.065 0.500 0.135
```

Entry 8:
First-principles (PBE) data for a relaxed structure of Y4InAg3, as listed in the Alexandria database.

Output
**Calculated total energy**: -0.184 Ha/atom

```
data_Y4InAg3
_chemical_formula_sum 'Y12 In3 Ag9'
_cell_length_a 5.2003
_cell_length_b 5.2003
_cell_length_c 25.5383
_cell_angle_alpha 90.00
_cell_angle_beta 90.00
_cell_angle_gamma 120.00
_symmetry_space_group_name_H-M 'R -3 m'
_symmetry_Int_Tables_number 166
_symmetry_space_group_name_Hall '-R 3 2"'
loop_
_atom_site_label
_atom_site_fract_x
_atom_site_fract_y
_atom_site_fract_z
Y1 0.0000 0.0000 0.1217
Y2 0.0000 0.0000 0.3722
In1 0.0000 0.0000 0.5000
Ag1 0.0000 0.0000 0.0000
Ag2 0.0000 0.0000 0.2471
```

Entry 9:
First-principles (PBE) data for a relaxed structure of Y6InAg2, as listed in the Alexandria database.

Output
**Calculated total energy**: -0.202 Ha/atom

```
data_Y6InAg2
_chemical_formula_sum 'Y24 In4 Ag8'
_cell_length_a 9.878
_cell_length_b 9.961
_cell_length_c 10.356
_cell_angle_alpha 90.00
_cell_angle_beta 90.00
_cell_angle_gamma 90.00
_symmetry_space_group_name_H-M 'I m m m'
_symmetry_Int_Tables_number 71
_symmetry_space_group_name_Hall '-I 2 2'
loop_
_atom_site_label
_atom_site_fract_x
_atom_site_fract_y
_atom_site_fract_z
Y1 0.000 0.217 0.177
Y2 0.182 0.225 0.500
Y3 0.201 0.500 0.258
In1 0.000 0.500 0.000
In2 0.000 0.500 0.500
Ag1 0.000 0.000 0.368
Ag2 0.146 0.000 0.000
```

Entry 10:
First-principles (PBE) data for a relaxed structure of Y3In3Ag2, as listed in the Alexandria database.

Output
**Calculated total energy**: -0.168 Ha/atom

```
data_Y3In3Ag2
_chemical_formula_sum 'Y3 In3 Ag2'
_cell_length_a 7.8022
_cell_length_b 7.8022
_cell_length_c 3.7959
_cell_angle_alpha 90.00
_cell_angle_beta 90.00
_cell_angle_gamma 120.00
_symmetry_space_group_name_H-M 'P -6 2 m'
_symmetry_Int_Tables_number 189
_symmetry_space_group_name_Hall 'P -6 -2'
loop_
_atom_site_label
_atom_site_fract_x
_atom_site_fract_y
_atom_site_fract_z
Y1 0.0000 0.4012 0.0000
In1 0.0000 0.7598 0.5000
Ag1 0.3333 0.6667 0.5000
```

Entry 11:
First-principles (PBE) data for a relaxed structure of YIn3Ag3, as listed in the Alexandria database.

Output
**Calculated total energy**: -0.107 Ha/atom

```
data_YIn3Ag3
_chemical_formula_sum 'Y2 In6 Ag6'
_cell_length_a 7.500
_cell_length_b 7.500
_cell_length_c 7.500
_cell_angle_alpha 90.00
_cell_angle_beta 90.00
_cell_angle_gamma 90.00
_symmetry_space_group_name_H-M 'P m -3 n'
_symmetry_Int_Tables_number 223
_symmetry_space_group_name_Hall '-P 4n 2 3'
loop_
_atom_site_label
_atom_site_fract_x
_atom_site_fract_y
_atom_site_fract_z
Y1 0.000 0.000 0.000
In1 0.000 0.250 0.500
Ag1 0.000 0.500 0.250
```

Entry 12:
First-principles (PBE) data for a relaxed structure of Y3InAg, as listed in the Alexandria database.

Output
**Calculated total energy**: -0.178 Ha/atom
**ΔE to the lowest computed polymorph**: 466 meV per atom

```
data_Y3InAg
_chemical_formula_sum 'Y3 In1 Ag1'
_cell_length_a 5.492
_cell_length_b 5.492
_cell_length_c 5.492
_cell_angle_alpha 90.00
_cell_angle_beta 90.00
_cell_angle_gamma 90.00
_symmetry_space_group_name_H-M 'P m -3 m'
_symmetry_Int_Tables_number 221
_symmetry_space_group_name_Hall '-P 4 2 3'
loop_
_atom_site_label
_atom_site_fract_x
_atom_site_fract_y
_atom_site_fract_z
Y1 0.000 0.000 0.500
In1 0.500 0.500 0.500
Ag1 0.000 0.000 0.000
```

Entry 13:
First-principles (PBE) data for a relaxed structure of YIn5Ag, as listed in the Alexandria database.

Output
**Calculated total energy**: -0.129 Ha/atom

```
data_YIn5Ag
_chemical_formula_sum 'Y1 In5 Ag1'
_cell_length_a 4.819
_cell_length_b 4.819
_cell_length_c 7.593
_cell_angle_alpha 90.00
_cell_angle_beta 90.00
_cell_angle_gamma 90.00
_symmetry_space_group_name_H-M 'P 4/m m m'
_symmetry_Int_Tables_number 123
_symmetry_space_group_name_Hall '-P 4 2'
loop_
_atom_site_label
_atom_site_fract_x
_atom_site_fract_y
_atom_site_fract_z
Y1 0.000 0.000 0.000
In1 0.000 0.500 0.289
In2 0.500 0.500 0.000
Ag1 0.000 0.000 0.500
```

Entry 14:
First-principles (PBE) data for a relaxed structure of YInAg3, as listed in the Alexandria database.

Output
**Calculated total energy**: -0.134 Ha/atom
**ΔE to the lowest computed polymorph**: 0 meV per atom

```
data_YInAg3
_chemical_formula_sum 'Y4 In4 Ag12'
_cell_length_a 4.810
_cell_length_b 28.366
_cell_length_c 3.346
_cell_angle_alpha 90.00
_cell_angle_beta 90.00
_cell_angle_gamma 90.00
_symmetry_space_group_name_H-M 'C m m m'
_symmetry_Int_Tables_number 65
_symmetry_space_group_name_Hall '-C 2 2'
loop_
_atom_site_label
_atom_site_fract_x
_atom_site_fract_y
_atom_site_fract_z
Y1 0.000 0.179 0.000
In1 0.000 0.373 0.500
Ag1 0.000 0.070 0.500
Ag2 0.000 0.274 0.500
Ag3 0.000 0.453 0.000
```

Entry 15:
First-principles (PBE) data for a relaxed structure of YIn3Ag8, as listed in the Alexandria database.

Output
**Calculated total energy**: -0.118 Ha/atom

```
data_YIn3Ag8
_chemical_formula_sum 'Y1 In3 Ag8'
_cell_length_a 5.5782
_cell_length_b 5.5782
_cell_length_c 9.2399
_cell_angle_alpha 90.00
_cell_angle_beta 90.00
_cell_angle_gamma 120.00
_symmetry_space_group_name_H-M 'P 3 m 1'
_symmetry_Int_Tables_number 156
_symmetry_space_group_name_Hall 'P 3 -2"'
loop_
_atom_site_label
_atom_site_fract_x
_atom_site_fract_y
_atom_site_fract_z
Y1 0.0000 0.0000 0.0000
In1 0.0000 0.0000 0.3666
In2 0.6667 0.3333 0.4995
In3 0.6667 0.3333 0.8758
Ag1 0.1638 0.3276 0.6822
Ag2 0.3333 0.6667 0.4331
Ag3 0.3333 0.6667 0.9305
Ag4 0.5023 0.0046 0.1836
```

Entry 16:
First-principles (PBE) data for a relaxed structure of Y5InAg4, as listed in the Alexandria database.

Output
**Calculated total energy**: -0.184 Ha/atom

```
data_Y5InAg4
_chemical_formula_sum 'Y5 In1 Ag4'
_cell_length_a 3.632
_cell_length_b 3.632
_cell_length_c 18.755
_cell_angle_alpha 90.00
_cell_angle_beta 90.00
_cell_angle_gamma 90.00
_symmetry_space_group_name_H-M 'P 4/m m m'
_symmetry_Int_Tables_number 123
_symmetry_space_group_name_Hall '-P 4 2'
loop_
_atom_site_label
_atom_site_fract_x
_atom_site_fract_y
_atom_site_fract_z
Y1 0.000 0.000 0.000
Y2 0.000 0.000 0.197
Y3 0.000 0.000 0.392
In1 0.500 0.500 0.500
Ag1 0.500 0.500 0.097
Ag2 0.500 0.500 0.295
```

Entry 17:
First-principles (PBE) data for a relaxed structure of Y6InAg5, as listed in the Alexandria database.

Output
**Calculated total energy**: -0.184 Ha/atom

```
data_Y6InAg5
_chemical_formula_sum 'Y12 In2 Ag10'
_cell_length_a 5.167
_cell_length_b 15.501
_cell_length_c 7.407
_cell_angle_alpha 90.00
_cell_angle_beta 90.00
_cell_angle_gamma 90.00
_symmetry_space_group_name_H-M 'C m m m'
_symmetry_Int_Tables_number 65
_symmetry_space_group_name_Hall '-C 2 2'
loop_
_atom_site_label
_atom_site_fract_x
_atom_site_fract_y
_atom_site_fract_z
Y1 0.000 0.000 0.242
Y2 0.000 0.331 0.247
In1 0.000 0.500 0.500
Ag1 0.000 0.162 0.500
Ag2 0.000 0.167 0.000
Ag3 0.000 0.500 0.000
```

Entry 18:
First-principles (PBE) data for a relaxed structure of Y6In2Ag, as listed in the Alexandria database.

Output
**Calculated total energy**: -0.203 Ha/atom

```
data_Y6In2Ag
_chemical_formula_sum 'Y12 In4 Ag2'
_cell_length_a 10.008
_cell_length_b 10.008
_cell_length_c 5.082
_cell_angle_alpha 90.00
_cell_angle_beta 90.00
_cell_angle_gamma 90.00
_symmetry_space_group_name_H-M 'P 42/m n m'
_symmetry_Int_Tables_number 136
_symmetry_space_group_name_Hall '-P 4n 2n'
loop_
_atom_site_label
_atom_site_fract_x
_atom_site_fract_y
_atom_site_fract_z
Y1 0.026 0.318 0.000
Y2 0.124 0.876 0.500
In1 0.205 0.205 0.500
Ag1 0.000 0.000 0.000
```

Entry 19:
First-principles (PBE) data for a relaxed structure of Y3InAg, as listed in the Alexandria database.

Output
**Calculated total energy**: -0.195 Ha/atom
**ΔE to the lowest computed polymorph**: 0 meV per atom

```
data_Y3InAg
_chemical_formula_sum 'Y12 In4 Ag4'
_cell_length_a 5.144
_cell_length_b 20.695
_cell_length_c 5.143
_cell_angle_alpha 90.00
_cell_angle_beta 90.00
_cell_angle_gamma 90.00
_symmetry_space_group_name_H-M 'C m c m'
_symmetry_Int_Tables_number 63
_symmetry_space_group_name_Hall '-C 2c 2'
loop_
_atom_site_label
_atom_site_fract_x
_atom_site_fract_y
_atom_site_fract_z
Y1 0.000 0.062 0.250
Y2 0.000 0.250 0.250
Y3 0.000 0.437 0.250
In1 0.000 0.157 0.750
Ag1 0.000 0.340 0.750
```

Entry 20:
First-principles (PBE) data for a relaxed structure of Y3In2Ag, as listed in the Alexandria database.

Output
**Calculated total energy**: -0.186 Ha/atom
**ΔE to the lowest computed polymorph**: 0 meV per atom

```
data_Y3In2Ag
_chemical_formula_sum 'Y3 In2 Ag1'
_cell_length_a 3.589
_cell_length_b 3.589
_cell_length_c 12.051
_cell_angle_alpha 90.00
_cell_angle_beta 90.00
_cell_angle_gamma 90.00
_symmetry_space_group_name_H-M 'P 4/m m m'
_symmetry_Int_Tables_number 123
_symmetry_space_group_name_Hall '-P 4 2'
loop_
_atom_site_label
_atom_site_fract_x
_atom_site_fract_y
_atom_site_fract_z
Y1 0.000 0.000 0.000
Y2 0.000 0.000 0.346
In1 0.500 0.500 0.174
Ag1 0.500 0.500 0.500
```

Entry 21:
First-principles (PBE) data for a relaxed structure of YIn6Ag, as listed in the Alexandria database.

Output
**Calculated total energy**: -0.124 Ha/atom

```
data_YIn6Ag
_chemical_formula_sum 'Y2 In12 Ag2'
_cell_length_a 7.735
_cell_length_b 10.766
_cell_length_c 4.822
_cell_angle_alpha 90.00
_cell_angle_beta 90.00
_cell_angle_gamma 90.00
_symmetry_space_group_name_H-M 'C m m m'
_symmetry_Int_Tables_number 65
_symmetry_space_group_name_Hall '-C 2 2'
loop_
_atom_site_label
_atom_site_fract_x
_atom_site_fract_y
_atom_site_fract_z
Y1 0.000 0.000 0.000
In1 0.000 0.216 0.500
In2 0.205 0.500 0.500
In3 0.250 0.250 0.000
Ag1 0.000 0.500 0.000
```

Entry 22:
First-principles (PBE) data for a relaxed structure of Y6In3Ag, as listed in the Alexandria database.

Output
**Calculated total energy**: -0.196 Ha/atom

```
data_Y6In3Ag
_chemical_formula_sum 'Y12 In6 Ag2'
_cell_length_a 9.308
_cell_length_b 5.325
_cell_length_c 11.692
_cell_angle_alpha 90.00
_cell_angle_beta 108.81
_cell_angle_gamma 90.00
_symmetry_space_group_name_H-M 'P 1 21/m 1'
_symmetry_Int_Tables_number 11
_symmetry_space_group_name_Hall '-P 2yb'
loop_
_atom_site_label
_atom_site_fract_x
_atom_site_fract_y
_atom_site_fract_z
Y1 0.038 0.250 0.414
Y2 0.167 0.750 0.171
Y3 0.261 0.250 0.003
Y4 0.345 0.750 0.811
Y5 0.364 0.250 0.337
Y6 0.401 0.250 0.629
In1 0.026 0.750 0.880
In2 0.119 0.250 0.717
In3 0.277 0.750 0.472
Ag1 0.456 0.750 0.102
```